Material: Sn3GeAu4
Method: DFT, PBE
State: optimized geometry

The structure belongs to space group P2/c (No. 13); the cell edges are 6.644, 7.240 and 9.810 Å and the angles 90.00°, 127.89° and 90.00°. The asymmetric unit holds Sn at (0.000, 0.044, 0.250), Sn at (0.000, 0.400, 0.750), Sn at (0.500, 0.178, 0.250), Ge at (0.500, 0.423, 0.750), Au at (0.025, 0.308, 0.464) and Au at (0.465, 0.180, 0.928).

Its volume is 23.3 Å³/atom. The density of states at the Fermi level comes out at 0.372 states/eV/atom. For the formation energy, the calculation gives -26 kJ/mol of formula units.